Compound: Sm3Mg5H12
Source: Alexandria
Functional: PBE
Structure: optimized geometry

Calculated values
VASP energy in eV per formula unit: -67.429
DOS(E_F) in states/eV per cell: 43.227
Total magnetic moment in μB per formula unit: 0.0

a b c (Å): 12.3870 12.3870 12.3870
angles (deg): 90.00 90.00 90.00
Closest atoms and distances in Å follow each position.
Space group Ia-3d (No. 230)
Inequivalent atoms, fractional coordinates:
Sm1 0.0000 0.2500 0.1250 (multiplicity 24)  8 H 2.31-2.35
Mg1 0.0000 0.0000 0.0000 (multiplicity 16)  6 H 2.05
Mg2 0.0000 0.2500 0.3750 (multiplicity 24)  4 H 1.94
H1 0.0203 0.0630 0.6518 (multiplicity 96)  2 Mg 1.94-2.05